(1)
Entry from Alexandria: a relaxed In10Pb6S21 crystal (PBE).

Structure (POSCAR):
```
In10Pb6S21
1.0
-2.889 -1.359 -2.253
-4.836 -4.644 12.394
-7.254 14.180 0.736
In S Pb
10 21 6
Direct
0.486 0.973 0.872
0.899 0.799 0.019
0.686 0.376 0.484
0.312 0.624 0.515
0.512 0.026 0.127
0.219 0.430 0.691
0.737 0.471 0.891
0.264 0.527 0.108
0.099 0.199 0.980
0.790 0.570 0.308
0.420 0.842 0.126
0.973 0.947 0.764
0.804 0.608 0.025
0.849 0.699 0.436
0.534 0.068 0.593
0.196 0.391 0.974
0.615 0.236 0.366
0.227 0.472 0.402
0.754 0.528 0.597
0.397 0.795 0.904
0.331 0.655 0.239
0.601 0.204 0.095
0.381 0.764 0.633
0.578 0.157 0.873
0.999 0.000 0.999
0.281 0.562 0.812
0.718 0.437 0.187
0.024 0.052 0.235
0.675 0.344 0.760
0.465 0.932 0.406
0.148 0.301 0.563
0.863 0.728 0.758
0.952 0.901 0.570
0.132 0.271 0.241
0.043 0.099 0.430
0.924 0.851 0.295
0.073 0.149 0.705
```

## Properties
E_form (uncorrected) ... -0.5398 eV per atom

=====

(2)
Entry from Alexandria: a relaxed Pt2C3 crystal (PBE).

Structure (POSCAR):
```
Pt2C3
1.0
5.180 1.883 8.115
5.554 5.132 3.876
-2.163 -0.849 4.824
C Pt
6 4
Direct
0.458 0.906 0.913
0.723 0.913 0.906
0.307 0.693 0.693
0.344 0.792 0.527
0.557 0.943 0.943
0.337 0.527 0.792
0.687 0.173 0.815
0.077 0.563 0.925
0.435 0.925 0.563
0.325 0.815 0.173
```

## Properties
Formation energy from the elements ... 94 kJ/mol of atoms

=====

(3)
Entry from Alexandria: a relaxed HgTeH3 crystal (PBE).

Structure (POSCAR):
```
HgTeH3
1.0
-4.691 1.129 -3.937
-0.643 -4.370 5.862
-1.416 0.543 7.454
H Te Hg
6 2 2
Direct
0.500 0.000 0.000
0.648 0.551 0.361
0.169 0.458 0.971
0.352 0.449 0.639
0.831 0.542 0.029
0.000 0.000 0.000
0.179 0.098 0.767
0.821 0.902 0.233
0.650 0.235 0.298
0.350 0.765 0.702
```

## Properties
Final energy ... -24.09 eV for the cell shown

=====

Number 1: density 5.88 Mg/m³. Number 2: density 10.81 Mg/m³. Number 3: density 5.80 Mg/m³.